## Pr6Nd2Tm (GGA-PBE)

Data for a relaxed Pr6Nd2Tm crystal.

Cell: 9.372 9.372 4.423 Å, 90.00 90.00 124.09°
Fractional coordinates of all 9 atoms:
Pr: 0.061 0.362 0.500
Pr: 0.175 0.175 0.000
Pr: 0.362 0.061 0.500
Pr: 0.638 0.939 0.500
Pr: 0.825 0.825 0.000
Pr: 0.939 0.638 0.500
Nd: 0.291 0.709 0.000
Nd: 0.709 0.291 0.000
Tm: 0.500 0.500 0.500

Calculated values
Magnetic moment, μB per formula unit: 0.00
D(E_F), states/eV/f.u.: 12.0
Electronic total energy, eV/atom: -4.52
Formation energy from the elements, kJ per mole of atoms: 21.2

## Pr3Nd5Tm (GGA-PBE)

Data for a relaxed Pr3Nd5Tm crystal.

Cell: 9.528 9.528 12.454 Å, 126.15 126.15 53.00°
Fractional coordinates of all 18 atoms:
Pr: 0.000 0.000 0.000
Pr: 0.000 0.000 0.500
Pr: 0.292 0.292 0.194
Pr: 0.362 0.362 0.554
Pr: 0.638 0.638 0.446
Pr: 0.708 0.708 0.806
Nd: 0.093 0.480 0.725
Nd: 0.154 0.154 0.850
Nd: 0.318 0.682 0.500
Nd: 0.441 0.441 0.081
Nd: 0.480 0.093 0.725
Nd: 0.520 0.907 0.275
Nd: 0.559 0.559 0.919
Nd: 0.682 0.318 0.500
Nd: 0.846 0.846 0.150
Nd: 0.907 0.520 0.275
Tm: 0.114 0.114 0.374
Tm: 0.886 0.886 0.626

Calculated values
Magnetic moment, μB per formula unit: 0.00
D(E_F), states/eV/f.u.: 12.4
Electronic total energy, eV/atom: -4.36
Formation energy from the elements, kJ per mole of atoms: 36.2

## Pr2Nd4Tm5 (GGA-PBE)

Data for a relaxed Pr2Nd4Tm5 crystal.

Cell: 12.573 12.573 12.573 Å, 163.84 137.06 46.17°
Fractional coordinates of all 11 atoms:
Pr: 0.232 0.232 0.000
Pr: 0.768 0.768 0.000
Nd: 0.096 0.096 0.000
Nd: 0.205 0.500 0.705
Nd: 0.795 0.500 0.295
Nd: 0.904 0.904 0.000
Tm: 0.166 0.358 0.808
Tm: 0.450 0.642 0.808
Tm: 0.500 0.000 0.500
Tm: 0.550 0.358 0.192
Tm: 0.834 0.642 0.192

Calculated values
Magnetic moment, μB per formula unit: 0.00
D(E_F), states/eV/f.u.: 16.7
Electronic total energy, eV/atom: -4.38
Formation energy from the elements, kJ per mole of atoms: 25.0

## PrNd5Tm4 (GGA-PBE)

Data for a relaxed PrNd5Tm4 crystal.

Cell: 9.518 9.518 10.189 Å, 106.18 106.18 21.91°
Fractional coordinates of all 10 atoms:
Pr: 0.000 0.000 0.000
Nd: 0.000 0.000 0.500
Nd: 0.200 0.200 0.600
Nd: 0.398 0.398 0.196
Nd: 0.602 0.602 0.804
Nd: 0.800 0.800 0.400
Tm: 0.200 0.200 0.100
Tm: 0.398 0.398 0.702
Tm: 0.602 0.602 0.298
Tm: 0.800 0.800 0.900

Calculated values
Magnetic moment, μB per formula unit: 0.00
D(E_F), states/eV/f.u.: 12.3
Electronic total energy, eV/atom: -4.63
Formation energy from the elements, kJ per mole of atoms: 1.8

## Pr3NdTm4 (GGA-PBE)

Data for a relaxed Pr3NdTm4 crystal.

Cell: 11.538 7.329 6.285 Å, 90.00 90.00 90.00°
Fractional coordinates of all 16 atoms:
Pr: 0.000 0.129 0.000
Pr: 0.249 0.130 0.341
Pr: 0.251 0.870 0.841
Pr: 0.500 0.871 0.500
Pr: 0.749 0.870 0.841
Pr: 0.751 0.130 0.341
Nd: 0.000 0.870 0.502
Nd: 0.500 0.130 0.002
Tm: 0.000 0.382 0.504
Tm: 0.000 0.619 0.005
Tm: 0.250 0.382 0.837
Tm: 0.250 0.618 0.337
Tm: 0.500 0.381 0.505
Tm: 0.500 0.618 0.004
Tm: 0.750 0.382 0.837
Tm: 0.750 0.618 0.337

Calculated values
Magnetic moment, μB per formula unit: 0.00
D(E_F), states/eV/f.u.: 14.8
Electronic total energy, eV/atom: -4.59
Formation energy from the elements, kJ per mole of atoms: 3.0

## Pr5Nd2Tm12 (GGA-PBE)

Data for a relaxed Pr5Nd2Tm12 crystal.

Cell: 9.825 9.825 10.310 Å, 109.71 109.71 42.26°
Fractional coordinates of all 19 atoms:
Pr: 0.000 0.000 0.000
Pr: 0.190 0.190 0.686
Pr: 0.317 0.317 0.287
Pr: 0.683 0.683 0.713
Pr: 0.810 0.810 0.314
Nd: 0.280 0.720 0.500
Nd: 0.720 0.280 0.500
Tm: 0.024 0.024 0.743
Tm: 0.089 0.595 0.633
Tm: 0.091 0.585 0.982
Tm: 0.405 0.911 0.367
Tm: 0.415 0.909 0.018
Tm: 0.496 0.496 0.828
Tm: 0.504 0.504 0.172
Tm: 0.585 0.091 0.982
Tm: 0.595 0.089 0.633
Tm: 0.909 0.415 0.018
Tm: 0.911 0.405 0.367
Tm: 0.976 0.976 0.257

Calculated values
Magnetic moment, μB per formula unit: 0.00
D(E_F), states/eV/f.u.: 25.5
Electronic total energy, eV/atom: -4.41
Formation energy from the elements, kJ per mole of atoms: 17.1

What is the formation energy from the elements in the second record?
36.2 kJ per mole of atoms

Look up the electronic total energy of the first one.
-4.52 eV/atom